1.
Compound: Er3Tm3Te2Pt
Source: OQMD
Functional: PBE-GGA
Structure: optimized geometry

Summary:
E_tot = -5.26 eV per atom

Cell lengths 8.3340, 8.3340, 3.9096 Å; angles 90.00, 90.00, 120.00 degrees
Last column: nearest neighbours and their distance in Å.
Space group P-62m (No. 189)
One atom of each set of equivalent atoms:
1 Er 0.0000 0.2457 0.0000 x3  2 Pt 2.83
2 Tm 0.0000 0.6012 0.5000 x3  4 Te 3.21, 1 Pt 3.32, 6 Er 3.50-3.55
3 Te 0.3333 0.6667 0.0000 x2  3 Er 3.21, 6 Tm 3.21
4 Pt 0.0000 0.0000 0.5000 x1  6 Er 2.83

2.
Compound: BiSbW
Source: OQMD
Functional: PBE-GGA
Structure: optimized geometry

Summary:
E_tot = -6.24 eV per atom

Cell lengths 6.7862, 6.7862, 6.7862 Å; angles 90.00, 90.00, 90.00 degrees
Last column: nearest neighbours and their distance in Å.
Space group F-43m (No. 216)
One atom of each set of equivalent atoms:
1 Bi 0.0000 0.0000 0.0000 x4  4 W 2.94
2 Sb 0.0000 0.0000 0.5000 x4  4 W 2.94
3 W 0.2500 0.2500 0.2500 x4  4 Bi 2.94, 4 Sb 2.94

3.
Compound: CsTaTc
Source: OQMD
Functional: PBE-GGA
Structure: optimized geometry

Summary:
E_tot = -4.67 eV per atom

Cell lengths 6.4379, 6.4379, 6.4379 Å; angles 90.00, 90.00, 90.00 degrees
Last column: nearest neighbours and their distance in Å.
Space group F-43m (No. 216)
One atom of each set of equivalent atoms:
1 Cs 0.0000 0.0000 0.0000 x4  4 Ta 2.79, 4 Tc 2.79
2 Ta 0.2500 0.2500 0.7500 x4  4 Cs 2.79
3 Tc 0.2500 0.2500 0.2500 x4  4 Cs 2.79

4.
Compound: HoTmPd2Pb
Source: OQMD
Functional: PBE-GGA
Structure: optimized geometry

Summary:
E_tot = -5.44 eV per atom

Cell lengths 3.5617, 4.2617, 14.8654 Å; angles 90.00, 90.00, 90.00 degrees
Last column: nearest neighbours and their distance in Å.
Space group Amm2 (No. 38)
One atom of each set of equivalent atoms:
1 Ho 0.0000 0.0000 0.0000 x2  6 Pd 2.90-3.12
2 Tm 0.0000 0.0000 0.2726 x2  6 Pd 2.89-3.09
3 Pd 0.5000 0.0000 0.4428 x2  2 Pd 2.74, 1 Pb 2.87, 4 Ho 2.90
4 Pd 0.5000 0.0000 0.8273 x2  2 Pd 2.74, 1 Pb 2.84, 4 Tm 2.89
5 Pb 0.5000 0.0000 0.6361 x2  2 Pd 2.84-2.87

5.
Compound: SmHoI2O2
Source: OQMD
Functional: PBE-GGA
Structure: optimized geometry

Summary:
E_tot = -6.42 eV per atom

Cell lengths 3.9525, 3.9525, 9.1103 Å; angles 90.00, 90.00, 90.00 degrees
Last column: nearest neighbours and their distance in Å.
Space group P4mm (No. 99)
One atom of each set of equivalent atoms:
1 Sm 0.0000 0.0000 0.0000 x1  4 O 2.30
2 Ho 0.5000 0.5000 0.2458 x1  4 O 2.24
3 I 0.0000 0.0000 0.4533 x1  4 Ho 3.37, 4 O 3.55
4 I 0.5000 0.5000 0.7928 x1  4 Sm 3.37, 4 O 3.65
5 O 0.0000 0.5000 0.1293 x2  2 Ho 2.24, 2 Sm 2.30

6.
Compound: SmBAs
Source: OQMD
Functional: PBE-GGA
Structure: optimized geometry

Summary:
E_tot = -5.24 eV per atom

Cell lengths 6.1618, 6.1618, 6.1618 Å; angles 90.00, 90.00, 90.00 degrees
Last column: nearest neighbours and their distance in Å.
Space group F-43m (No. 216)
One atom of each set of equivalent atoms:
1 Sm 0.0000 0.0000 0.0000 x4  4 B 2.67
2 B 0.2500 0.2500 0.7500 x4  4 As 2.67, 4 Sm 2.67
3 As 0.0000 0.0000 0.5000 x4  4 B 2.67

7.
Compound: Y3Mg3AlCuAg
Source: OQMD
Functional: PBE-GGA
Structure: optimized geometry

Summary:
E_tot = -4.10 eV per atom

Cell lengths 7.5861, 7.5861, 4.1424 Å; angles 90.00, 90.00, 120.00 degrees
Last column: nearest neighbours and their distance in Å.
Space group P-6 (No. 174)
One atom of each set of equivalent atoms:
1 Y 0.0733 0.7393 0.0000 x3  1 Cu 3.08, 2 Ag 3.09, 2 Al 3.10, 6 Mg 3.39
2 Mg 0.4260 0.0940 0.5000 x3  2 Cu 2.76, 1 Al 2.94, 1 Ag 2.95
3 Al 0.0000 0.0000 0.5000 x1  3 Mg 2.94, 6 Y 3.10
4 Cu 0.6667 0.3333 0.0000 x1  6 Mg 2.76, 3 Y 3.08
5 Ag 0.3333 0.6667 0.5000 x1  3 Mg 2.95, 6 Y 3.09

8.
Compound: Zr2CuAu
Source: OQMD
Functional: PBE-GGA
Structure: optimized geometry

Summary:
energy relative to the elements = -0.3244 eV per atom

Cell lengths 4.9140, 4.8633, 6.4217 Å; angles 90.00, 90.00, 90.00 degrees
Last column: nearest neighbours and their distance in Å.
Space group Pmma (No. 51)
One atom of each set of equivalent atoms:
1 Zr 0.2500 0.0000 0.1512 x2  2 Au 2.85, 3 Cu 2.89-2.96, 4 Zr 3.12-3.13
2 Zr 0.2500 0.5000 0.8473 x2  2 Cu 2.86, 3 Au 2.87-2.98, 4 Zr 3.12-3.14
3 Cu 0.2500 0.0000 0.6126 x2  2 Au 2.84, 2 Cu 2.85, 5 Zr 2.86-2.96
4 Au 0.2500 0.5000 0.3840 x2  2 Cu 2.84, 5 Zr 2.85-2.98, 2 Au 2.87

9.
Compound: DyIn2Te4
Source: OQMD
Functional: PBE-GGA
Structure: optimized geometry

Summary:
E_tot = -3.74 eV per atom

Cell lengths 6.4780, 6.4780, 13.0932 Å; angles 90.00, 90.00, 90.00 degrees
Last column: nearest neighbours and their distance in Å.
Space group I-4 (No. 82)
One atom of each set of equivalent atoms:
1 Dy 0.0000 0.0000 0.0000 x2  4 Te 2.98
2 In 0.0000 0.0000 0.5000 x2  4 Te 2.87
3 In 0.0000 0.5000 0.7500 x2  4 Te 3.01
4 Te 0.2075 0.2779 0.3633 x8  2 In 2.87-3.01, 1 Dy 2.98

10.
Compound: HoInAg2O4
Source: OQMD
Functional: PBE-GGA
Structure: optimized geometry

Summary:
E_tot = -5.76 eV per atom

Cell lengths 3.3861, 3.3861, 12.5970 Å; angles 90.00, 90.00, 120.00 degrees
Last column: nearest neighbours and their distance in Å.
Space group P-3m1 (No. 164)
One atom of each set of equivalent atoms:
1 Ho 0.0000 0.0000 0.0000 x1  6 O 2.24
2 In 0.0000 0.0000 0.5000 x1  6 O 2.22
3 Ag 0.3333 0.6667 0.2512 x2  2 O 2.07-2.09
4 O 0.3333 0.6667 0.0865 x2  1 Ag 2.07, 3 Ho 2.24
5 O 0.3333 0.6667 0.4170 x2  1 Ag 2.09, 3 In 2.22

11.
Compound: SmMgCuTe2S
Source: OQMD
Functional: PBE-GGA
Structure: optimized geometry

Summary:
E_tot = -4.29 eV per atom

Cell lengths 4.0546, 13.5451, 10.7099 Å; angles 90.00, 90.00, 90.00 degrees
Last column: nearest neighbours and their distance in Å.
Space group Cmcm (No. 63)
One atom of each set of equivalent atoms:
1 Sm 0.0000 0.0000 0.0000 x4  2 S 2.92, 4 Te 3.07
2 Mg 0.0000 0.2794 0.2500 x4  2 S 2.73
3 Cu 0.0000 0.4851 0.7500 x4  2 S 2.44, 2 Te 2.64
4 Te 0.0000 0.3424 0.5815 x8  1 Cu 2.64
5 S 0.0000 0.0857 0.7500 x4  2 Cu 2.44, 2 Mg 2.73

12.
Compound: Mo
Source: OQMD
Functional: PBE-GGA
Structure: optimized geometry

Summary:
energy relative to the elements = 0.4207 eV per atom

Cell lengths 3.0232, 3.0232, 8.1610 Å; angles 90.00, 90.00, 120.00 degrees
Last column: nearest neighbours and their distance in Å.
Space group P6_3/mmc (No. 194)
One atom of each set of equivalent atoms:
1 Mo 0.0000 0.0000 0.0000 x2  6 Mo 2.68
2 Mo 0.3333 0.6667 0.2500 x2  6 Mo 2.68